Entry 1
As3Ir5: optimized geometry, GGA-PBE.

Crystal system ... monoclinic

Unit cell a=7.1778 b=7.1795 c=7.1331 alpha=100.82 beta=100.80 gamma=128.17
Atoms (fractional coordinates):
Ir: 0.0711 0.5715 0.5009
As: 0.3102 0.3123 0.9951
Ir: 0.3790 0.5177 0.7141
Ir: 0.6267 0.3384 0.8713
Ir: 0.0175 0.8796 0.7141
Ir: 0.8381 0.1273 0.8713
As: 0.7291 0.2297 0.1718
Ir: 0.1741 0.3138 0.2855
Ir: 0.2593 0.9721 0.1308
As: 0.0614 0.5618 0.8350
As: 0.8118 0.8107 0.9951
As: 0.6100 0.7569 0.4988
Ir: 0.5629 0.0633 0.5010
Ir: 0.4719 0.7599 0.1308
As: 0.2566 0.1105 0.4988
Ir: 0.8136 0.6747 0.2855



Entry 2
As3Ir5: optimized geometry, GGA-PBE.

Crystal system ... orthorhombic

Unit cell a=5.6119 b=5.6119 c=3.9453 alpha=90.00 beta=90.00 gamma=99.34
Atoms (fractional coordinates):
As: 0.2009 0.7991 0.5000
Ir: 0.5000 0.0000 0.0000
Ir: 0.0000 0.5000 0.0000
Ir: 0.2812 0.2812 0.5000
As: 0.7991 0.2009 0.5000
Ir: 0.7188 0.7188 0.5000
As: 0.5000 0.5000 0.0000
Ir: 0.0000 0.0000 0.0000



Entry 3
As3Ir5: optimized geometry, GGA-PBE.

Crystal system ... hexagonal

Unit cell a=7.0200 b=7.0200 c=5.9817 alpha=90.00 beta=90.00 gamma=120.00
Atoms (fractional coordinates):
Ir: 0.0000 0.7722 0.7500
As: 0.5881 0.0000 0.2500
As: 0.0000 0.5881 0.2500
As: 0.0000 0.4119 0.7500
Ir: 0.2278 0.2278 0.7500
Ir: 0.7722 0.0000 0.7500
Ir: 0.3333 0.6667 0.5000
Ir: 0.0000 0.2278 0.2500
As: 0.4119 0.4119 0.2500
As: 0.4119 0.0000 0.7500
Ir: 0.6667 0.3333 0.5000
Ir: 0.7722 0.7722 0.2500
As: 0.5881 0.5881 0.7500
Ir: 0.3333 0.6667 0.0000
Ir: 0.6667 0.3333 0.0000
Ir: 0.2278 0.0000 0.2500



Which structure wins on stability? entry 1 wins.



Entry 1
KAs2IrSe: optimized geometry, GGA-PBE.

Crystal system ... tetragonal

Unit cell a=5.2336 b=5.2336 c=5.2959 alpha=90.00 beta=90.00 gamma=90.00
Atoms (fractional coordinates):
Ir: 0.5000 0.5000 0.5000
Se: 0.0000 0.0000 0.5000
As: 0.0000 0.5000 0.0000
K: 0.0000 0.0000 0.0000
As: 0.5000 0.0000 0.0000



Entry 2
KAs2IrSe: optimized geometry, GGA-PBE.

Crystal system ... tetragonal

Unit cell a=4.7425 b=4.7425 c=5.7799 alpha=90.00 beta=90.00 gamma=90.00
Atoms (fractional coordinates):
Ir: 0.0000 0.0000 0.0000
Se: 0.0000 0.0000 0.5000
As: 0.0000 0.5000 0.0000
As: 0.5000 0.0000 0.0000
K: 0.5000 0.5000 0.5000



Which structure wins on stability? entry 2 wins.



Entry 1
LaAs2IrSe: optimized geometry, GGA-PBE.

Crystal system ... tetragonal

Unit cell a=4.7566 b=4.7566 c=5.3419 alpha=90.00 beta=90.00 gamma=90.00
Atoms (fractional coordinates):
La: 0.5000 0.5000 0.5000
As: 0.5000 0.0000 0.0000
As: 0.0000 0.5000 0.0000
Se: 0.0000 0.0000 0.5000
Ir: 0.0000 0.0000 0.0000



Entry 2
LaAs2IrSe: optimized geometry, GGA-PBE.

Crystal system ... tetragonal

Unit cell a=5.6645 b=5.6645 c=5.5480 alpha=90.00 beta=90.00 gamma=90.00
Atoms (fractional coordinates):
Se: 0.0000 0.0000 0.5000
Ir: 0.5000 0.5000 0.5000
As: 0.5000 0.0000 0.0000
La: 0.0000 0.0000 0.0000
As: 0.0000 0.5000 0.0000



Which structure wins on stability? entry 1 wins.



Entry 1
LiAs2Ir: optimized geometry, GGA-PBE.

Crystal system ... orthorhombic

Unit cell a=7.2996 b=7.2996 c=7.2996 alpha=152.64 beta=156.97 gamma=36.05
Atoms (fractional coordinates):
As: 0.9619 0.9619 0.0000
Ir: 0.5555 0.5555 0.0000
As: 0.6852 0.1852 0.5000
Li: 0.2974 0.7974 0.5000



Entry 2
LiAs2Ir: optimized geometry, GGA-PBE.

Crystal system ... monoclinic

Unit cell a=4.6349 b=4.6349 c=4.8489 alpha=78.00 beta=78.00 gamma=40.44
Atoms (fractional coordinates):
Ir: 0.4817 0.4817 0.5263
As: 0.0021 0.0021 0.1165
As: 0.7486 0.7486 0.6739
Li: 0.2676 0.2676 0.1833



Which structure wins on stability? entry 1 wins.



Entry 1
LiAs2Ir: optimized geometry, GGA-PBE.

Crystal system ... trigonal

Unit cell a=6.7347 b=6.7347 c=6.7347 alpha=31.51 beta=31.51 gamma=31.51
Atoms (fractional coordinates):
Li: 0.7500 0.7500 0.7500
As: 0.9882 0.9882 0.9882
Ir: 0.2500 0.2500 0.2500
As: 0.5118 0.5118 0.5118



Entry 2
LiAs2Ir: optimized geometry, GGA-PBE.

Crystal system ... orthorhombic

Unit cell a=2.8100 b=2.8100 c=9.5640 alpha=90.00 beta=90.00 gamma=117.28
Atoms (fractional coordinates):
Li: 0.5000 0.5000 0.7359
As: 0.5000 0.5000 0.2882
Ir: 0.0000 0.0000 0.5065
As: 0.0000 0.0000 0.9693



Which structure wins on stability? entry 1 wins.



Entry 1
LiAs2Ir: optimized geometry, GGA-PBE.

Crystal system ... tetragonal

Unit cell a=5.0311 b=5.0311 c=5.0311 alpha=135.62 beta=135.62 gamma=64.56
Atoms (fractional coordinates):
As: 0.2500 0.7500 0.5000
Li: 0.7500 0.2500 0.5000
Ir: 0.5000 0.5000 0.0000
As: 0.0000 0.0000 0.0000



Entry 2
LiAs2Ir: optimized geometry, GGA-PBE.

Crystal system ... monoclinic

Unit cell a=4.1858 b=2.7951 c=6.2601 alpha=90.09 beta=90.00 gamma=90.00
Atoms (fractional coordinates):
Li: 0.5000 0.7508 0.7365
As: 0.5000 0.2484 0.3311
As: 0.0000 0.2512 0.9073
Ir: 0.0000 0.2496 0.5251



Entry 3
LiAs2Ir: optimized geometry, GGA-PBE.

Crystal system ... tetragonal

Unit cell a=4.1596 b=4.1605 c=3.5507 alpha=90.00 beta=90.00 gamma=90.00
Atoms (fractional coordinates):
As: 0.5000 0.5000 0.0000
Ir: 0.5000 0.0000 0.5000
As: 0.0000 0.0000 0.0000
Li: 0.0000 0.5000 0.5000



Entry 4
LiAs2Ir: optimized geometry, GGA-PBE.

Crystal system ... tetragonal

Unit cell a=3.0257 b=3.0257 c=7.3556 alpha=90.00 beta=90.00 gamma=90.00
Atoms (fractional coordinates):
As: 0.5000 0.5000 0.3316
Ir: 0.0000 0.0000 0.5273
As: 0.0000 0.0000 0.9134
Li: 0.5000 0.5000 0.7277



Which structure wins on stability? entry 2 wins.